[1]
This record from the Alexandria database describes a relaxed structure of GaGeAu. The functional is PBE.

Cell: 4.018 4.018 7.111 Å, 90.00 90.00 90.00°
Positions (direct):
Ge  0.000  0.500  0.131
Ge  0.500  0.000  0.869
Au  0.000  0.500  0.761
Au  0.500  0.000  0.239
Ga  0.000  0.000  0.500
Ga  0.500  0.500  0.500

Output
Spin magnetization   0.00 μB/f.u.
ΔH_f (0 K)   0.053 eV/atom
Electronic total energy   -21.527 eV/cell
SG   P4/nmm

---

[2]
This record from the Alexandria database describes a relaxed structure of GaGeAu. The functional is PBE.

Cell: 4.538 4.831 6.191 Å, 67.09 74.94 88.00°
Positions (direct):
Ge  0.102  0.159  0.680
Ge  0.554  0.530  0.368
Au  0.829  0.844  0.524
Au  0.828  0.344  0.024
Ga  0.356  0.659  0.906
Ga  0.301  0.029  0.141

Output
Spin magnetization   0.00 μB/f.u.
ΔH_f (0 K)   0.003 eV/atom
Electronic total energy   -21.827 eV/cell
SG   P-1

---

[3]
This record from the Alexandria database describes a relaxed structure of GaGeAu. The functional is PBE.

Cell: 6.553 3.294 6.865 Å, 90.07 55.50 89.99°
Positions (direct):
Ge  0.216  0.735  0.156
Ge  0.598  0.234  0.979
Au  0.066  0.232  0.610
Au  0.749  0.732  0.524
Ga  0.242  0.733  0.773
Ga  0.572  0.232  0.362

Output
Spin magnetization   0.00 μB/f.u.
ΔH_f (0 K)   0.027 eV/atom
Electronic total energy   -21.680 eV/cell
SG   P1

---

no.,calculated volume (Å³ per cell)
1,114.79
2,120.39
3,122.14